A:
Here is a geometry-optimized P2IrRh structure from Alexandria. Energies are from PBE.

a = 7.440 Å, b = 7.440 Å, c = 7.440 Å
α = 23.74°, β = 23.74°, γ = 23.74°
Fractional coordinates of all 4 atoms:
P (0.000, 0.000, 0.000)
P (0.246, 0.246, 0.246)
Ir (0.510, 0.510, 0.510)
Rh (0.734, 0.734, 0.734)

Output
**Density**: 10.115 g/cm³
**Size of the total moment**: 0.00 μB/cell
**N(E_F)**: 2.2 states/eV per cell
**V**: 14.65 A^3/atom

***

B:
Here is a geometry-optimized P2IrRh structure from Alexandria. Energies are from PBE.

a = 3.370 Å, b = 3.370 Å, c = 4.900 Å
α = 90.00°, β = 90.00°, γ = 90.00°
Fractional coordinates of all 4 atoms:
P (0.000, 0.000, 0.000)
P (0.500, 0.500, 0.368)
Ir (0.500, 0.500, 0.865)
Rh (0.000, 0.000, 0.500)

Output
**Density**: 10.658 g/cm³
**Size of the total moment**: 0.00 μB/cell
**N(E_F)**: 1.0 states/eV per cell
**V**: 13.91 A^3/atom

***

Stability summary: most stable B, least stable A.

***

A:
Here is a geometry-optimized P2IrRh structure from Alexandria. Energies are from PBE.

a = 5.271 Å, b = 5.271 Å, c = 5.271 Å
α = 147.83°, β = 132.34°, γ = 58.67°
Fractional coordinates of all 4 atoms:
P (0.000, 0.000, 0.000)
P (0.724, 0.224, 0.500)
Ir (0.512, 0.512, 0.000)
Rh (0.216, 0.716, 0.500)

Output
**Density**: 10.371 g/cm³
**Size of the total moment**: 0.00 μB/cell
**N(E_F)**: 3.2 states/eV per cell
**V**: 14.29 A^3/atom

***

B:
Here is a geometry-optimized P2IrRh structure from Alexandria. Energies are from PBE.

a = 4.027 Å, b = 3.766 Å, c = 4.128 Å
α = 90.00°, β = 93.27°, γ = 90.00°
Fractional coordinates of all 4 atoms:
P (0.175, 0.000, 0.315)
P (0.825, 0.000, 0.685)
Ir (0.000, 0.500, 0.000)
Rh (0.500, 0.500, 0.500)

Output
**Density**: 9.487 g/cm³
**Size of the total moment**: 0.00 μB/cell
**N(E_F)**: 2.1 states/eV per cell
**V**: 15.62 A^3/atom

***

C:
Here is a geometry-optimized P2IrRh structure from Alexandria. Energies are from PBE.

a = 2.881 Å, b = 2.881 Å, c = 8.100 Å
α = 90.00°, β = 90.00°, γ = 121.88°
Fractional coordinates of all 4 atoms:
P (0.000, 0.000, 0.248)
P (0.000, 0.000, 0.752)
Ir (0.500, 0.500, 0.500)
Rh (0.500, 0.500, 0.000)

Output
**Density**: 10.387 g/cm³
**Size of the total moment**: 0.00 μB/cell
**N(E_F)**: 3.7 states/eV per cell
**V**: 14.27 A^3/atom

***

D:
Here is a geometry-optimized P2IrRh structure from Alexandria. Energies are from PBE.

a = 6.448 Å, b = 6.448 Å, c = 6.448 Å
α = 132.01°, β = 132.01°, γ = 70.22°
Fractional coordinates of all 8 atoms:
P (0.124, 0.625, 0.999)
P (0.375, 0.374, 0.499)
P (0.626, 0.125, 0.001)
P (0.875, 0.876, 0.501)
Ir (0.000, 0.000, 0.000)
Ir (0.750, 0.250, 0.500)
Rh (0.250, 0.750, 0.500)
Rh (0.500, 0.500, 0.000)

Output
**Density**: 8.173 g/cm³
**Size of the total moment**: 0.00 μB/cell
**N(E_F)**: 5.0 states/eV per cell
**V**: 18.14 A^3/atom

***

Stability summary: most stable D, least stable C.

***

A:
Here is a geometry-optimized PIrRh structure from Alexandria. Energies are from PBE.

a = 3.940 Å, b = 3.940 Å, c = 3.940 Å
α = 60.00°, β = 60.00°, γ = 60.00°
Fractional coordinates of all 3 atoms:
P (0.000, 0.000, 0.000)
Ir (0.750, 0.750, 0.750)
Rh (0.250, 0.250, 0.250)

Output
**Density**: 12.524 g/cm³
**Size of the total moment**: 0.00 μB/cell
**N(E_F)**: 0.8 states/eV per cell
**V**: 14.41 A^3/atom

***

B:
Here is a geometry-optimized PIrRh structure from Alexandria. Energies are from PBE.

a = 2.872 Å, b = 2.872 Å, c = 5.838 Å
α = 90.00°, β = 90.00°, γ = 120.00°
Fractional coordinates of all 3 atoms:
P (0.000, 0.000, 0.000)
Ir (0.333, 0.667, 0.700)
Rh (0.667, 0.333, 0.292)

Output
**Density**: 12.980 g/cm³
**Size of the total moment**: 0.00 μB/cell
**N(E_F)**: 3.3 states/eV per cell
**V**: 13.91 A^3/atom

***

Stability summary: most stable A, least stable B.

***

A:
Here is a geometry-optimized PIrRh structure from Alexandria. Energies are from PBE.

a = 5.380 Å, b = 5.380 Å, c = 5.380 Å
α = 149.08°, β = 149.08°, γ = 44.30°
Fractional coordinates of all 3 atoms:
P (0.000, 0.000, 0.000)
Ir (0.640, 0.640, 0.000)
Rh (0.358, 0.358, 0.000)

Output
**Density**: 13.204 g/cm³
**Size of the total moment**: 0.00 μB/cell
**N(E_F)**: 3.1 states/eV per cell
**V**: 13.67 A^3/atom

***

B:
Here is a geometry-optimized PIrRh structure from Alexandria. Energies are from PBE.

a = 3.758 Å, b = 3.758 Å, c = 3.614 Å
α = 90.00°, β = 90.00°, γ = 120.00°
Fractional coordinates of all 3 atoms:
P (0.000, 0.000, 0.000)
Ir (0.667, 0.333, 0.779)
Rh (0.333, 0.667, 0.272)

Output
**Density**: 12.250 g/cm³
**Size of the total moment**: 0.00 μB/cell
**N(E_F)**: 2.8 states/eV per cell
**V**: 14.73 A^3/atom

***

Stability summary: most stable B, least stable A.